Computed, not measured: NaCa2TlRh after structural relaxation at the PBE level of DFT.

Computed properties:
VASP energy: -3.240 eV/atom
DOS at the Fermi energy: 2.46 states/eV/cell

a = 5.4620 Å, b = 5.4620 Å, c = 5.3602 Å
α = 90.00°, β = 90.00°, γ = 90.00°
Fractional coordinates of all 5 atoms:
Na 0.5000 0.5000 0.5000
Tl 0.0000 0.0000 0.5000
Rh 0.0000 0.0000 0.0000
Ca 0.0000 0.5000 0.0000
Ca 0.5000 0.0000 0.0000